--- one ---
A relaxed ReGeSN2 crystal. Source: Alexandria via LeMat-Bulk, functional PBEsol.

Structure (CIF):
```
data_ReGeSN2
_space_group_name_H-M_alt 'P 4/m m m'
_space_group_IT_number 123
_space_group_name_Hall '-P 4 2'
_cell_length_a 3.709
_cell_length_b 3.709
_cell_length_c 4.586
_cell_angle_alpha 90.00
_cell_angle_beta 90.00
_cell_angle_gamma 90.00
loop_
_atom_site_label
_atom_site_fract_x
_atom_site_fract_y
_atom_site_fract_z
Re1 0.000 0.000 0.000
Ge1 0.500 0.500 0.500
S1 0.500 0.500 0.000
N1 0.000 0.500 0.500
```

Summary:
- Mass density: 8.39 g/cm3
- Size of the total moment: 0.40 μB per atom
- D(E_F): 3.31 states/eV/cell

---

--- two ---
A relaxed ReGeSN2 crystal. Source: Alexandria via LeMat-Bulk, functional PBEsol.

Structure (CIF):
```
data_ReGeSN2
_space_group_name_H-M_alt 'P 4/m m m'
_space_group_IT_number 123
_space_group_name_Hall '-P 4 2'
_cell_length_a 3.828
_cell_length_b 3.828
_cell_length_c 4.962
_cell_angle_alpha 90.00
_cell_angle_beta 90.00
_cell_angle_gamma 90.00
loop_
_atom_site_label
_atom_site_fract_x
_atom_site_fract_y
_atom_site_fract_z
Re1 0.000 0.000 0.000
Ge1 0.500 0.500 0.500
S1 0.000 0.000 0.500
N1 0.000 0.500 0.000
```

Summary:
- Mass density: 7.28 g/cm3
- Size of the total moment: 0.00 μB per atom
- D(E_F): 3.07 states/eV/cell

---

Which one sits at the top of the stability order? two does.

---

--- one ---
A relaxed Sr2GeN2 crystal. Source: Alexandria via LeMat-Bulk, functional PBEsol.

Structure (CIF):
```
data_Sr2GeN2
_space_group_name_H-M_alt 'P 42/m b c'
_space_group_IT_number 135
_space_group_name_Hall '-P 4c 2ab'
_cell_length_a 11.696
_cell_length_b 11.696
_cell_length_c 5.335
_cell_angle_alpha 90.00
_cell_angle_beta 90.00
_cell_angle_gamma 90.00
loop_
_atom_site_label
_atom_site_fract_x
_atom_site_fract_y
_atom_site_fract_z
Sr1 0.022 0.349 0.000
Sr2 0.081 0.133 0.500
Ge1 0.152 0.744 0.500
N1 0.012 0.665 0.500
N2 0.098 0.134 0.000
```

Summary:
- Mass density: 5.02 g/cm3
- Size of the total moment: 0.00 μB per atom
- D(E_F): 2.27 states/eV/cell

---

--- two ---
A relaxed Sr2GeN2 crystal. Source: Alexandria via LeMat-Bulk, functional PBEsol.

Structure (CIF):
```
data_Sr2GeN2
_space_group_name_H-M_alt 'C m c e'
_space_group_IT_number 64
_space_group_name_Hall '-C 2ac 2'
_cell_length_a 5.366
_cell_length_b 11.336
_cell_length_c 12.089
_cell_angle_alpha 90.00
_cell_angle_beta 90.00
_cell_angle_gamma 90.00
loop_
_atom_site_label
_atom_site_fract_x
_atom_site_fract_y
_atom_site_fract_z
Sr1 0.000 0.048 0.142
Sr2 0.000 0.144 0.559
Ge1 0.000 0.240 0.319
N1 0.000 0.079 0.358
N2 0.000 0.160 0.941
```

Summary:
- Mass density: 4.98 g/cm3
- Size of the total moment: 0.00 μB per atom
- D(E_F): 2.46 states/eV/cell

---

Which one sits at the top of the stability order? one does.